Computed, not measured: CdCoAs2O8 after structural relaxation at the PBE with a Hubbard U level of DFT.

a b c (Å): 5.7966 5.7966 5.7966
angles (deg): 107.18 107.18 114.15
Closest atoms and distances in Å follow each position.
Fractional positions:
Cd  0.0000  0.0000  0.0000  8 O 2.25-2.42
Co  0.2500  0.7500  0.5000  8 O 2.16-2.29
As  0.5000  0.5000  0.0000  4 O 1.74
As  0.7500  0.2500  0.5000  4 O 1.72
O  0.3221  0.1293  0.8072  1 As 1.74
O  0.3221  0.5149  0.1928  1 As 1.74
O  0.3808  0.0574  0.3234  1 As 1.72
O  0.4851  0.6779  0.8072  1 As 1.74
O  0.7340  0.0574  0.6766  1 As 1.72
O  0.8707  0.6779  0.1928  1 As 1.74
O  0.9426  0.2660  0.3234  1 As 1.72
O  0.9426  0.6192  0.6766  1 As 1.72

- total energy (eV per atom) = -5.4124
- total moment (μB/cell) = 5.0